Mg2ScTa after structural relaxation. Source: Alexandria via LeMat-Bulk, functional GGA-PBE.

Its density of states at the Fermi level is 1.442 states/eV/atom. The formation energy from the elements is 0.343 eV/atom. The calculated volume is 164.64 Å³ per cell. For the energy relative to the lowest polymorph listed for this composition, the calculation gives 0.273 eV/atom. Its density is 5.54 g/cm3. The calculated total energy comes out at -5.0000 eV/atom.

It has space group I-4m2 (No. 119), with a = 4.327 Å, b = 4.327 Å, c = 8.792 Å, α = 90.00°, β = 90.00° and γ = 90.00°. Symmetry generates all atoms from Mg at (0.000, 0.000, 0.000), Mg at (0.000, 0.500, 0.250), Sc at (0.000, 0.500, 0.750) and Ta at (0.000, 0.000, 0.500).